w) # Co3NiPt2

Crystalline Co3NiPt2 at its relaxed geometry (PBE, Alexandria via LeMat-Bulk).

The structure belongs to space group I4_1/amd (No. 141, origin choice 2); the cell edges are 7.905, 7.905 and 11.038 Å and the angles 90.00°, 90.00° and 90.00°. Symmetry generates all atoms from Co at (0.000, 0.000, 0.000), Co at (0.213, 0.037, 0.375), Ni at (0.000, 0.250, 0.166) and Pt at (0.000, 0.059, 0.778).

x) # Co3NiPt2

Crystalline Co3NiPt2 at its relaxed geometry (PBE, Alexandria via LeMat-Bulk).

The structure belongs to space group Cmmm (No. 65); the cell edges are 4.320, 13.200 and 2.704 Å and the angles 90.00°, 90.00° and 90.00°. Symmetry generates all atoms from Co at (0.000, 0.000, 0.000), Co at (0.000, 0.353, 0.000), Ni at (0.000, 0.500, 0.500) and Pt at (0.000, 0.178, 0.500).

Which structure is the most stable? The one labeled x).